Record 1
# ScNbAl2

Crystalline ScNbAl2 at its relaxed geometry (PBE-GGA, the Alexandria database).

Values from the calculation:
Crystal system ... tetragonal
Energy relative to the elements ... -117 kJ/mol of formula units

abc: 3.4728 3.4728 6.0009
angles: 90.00 90.00 90.00
Space group P4/mmm (No. 123)
One atom of each set of equivalent atoms:
Sc 0.0000 0.0000 0.0000
Nb 0.0000 0.0000 0.5000
Al 0.5000 0.5000 0.2762

---

Record 2
# Sc3NbAl

Crystalline Sc3NbAl at its relaxed geometry (PBE-GGA, the Alexandria database).

Values from the calculation:
Crystal system ... cubic
Energy relative to the elements ... 322 kJ/mol of formula units

abc: 5.0387 5.0387 5.0387
angles: 90.00 90.00 90.00
Space group Pm-3m (No. 221)
One atom of each set of equivalent atoms:
Sc 0.0000 0.0000 0.5000
Nb 0.0000 0.0000 0.0000
Al 0.5000 0.5000 0.5000

---

Record 3
# Sc2NbAl3

Crystalline Sc2NbAl3 at its relaxed geometry (PBE-GGA, the Alexandria database).

Values from the calculation:
Crystal system ... orthorhombic
Energy relative to the elements ... -183 kJ/mol of formula units

abc: 4.8891 6.1779 14.6650
angles: 90.00 90.00 90.00
Space group Imma (No. 74)
One atom of each set of equivalent atoms:
Sc 0.0000 0.2500 0.0057
Sc 0.0000 0.2500 0.3314
Nb 0.0000 0.2500 0.6620
Al 0.0000 0.0000 0.5000
Al 0.0000 0.0302 0.8292

---

Record 4
# Sc4NbAl2

Crystalline Sc4NbAl2 at its relaxed geometry (PBE-GGA, the Alexandria database).

Values from the calculation:
Crystal system ... tetragonal
Energy relative to the elements ... 315 kJ/mol of formula units

abc: 5.0414 5.0414 13.9590
angles: 90.00 90.00 90.00
Space group I4/mmm (No. 139)
One atom of each set of equivalent atoms:
Sc 0.0000 0.0000 0.1857
Sc 0.0000 0.5000 0.0000
Nb 0.0000 0.0000 0.0000
Al 0.0000 0.0000 0.3913

---

Record 5
# ScNbAl2

Crystalline ScNbAl2 at its relaxed geometry (PBE-GGA, the Alexandria database).

Values from the calculation:
Crystal system ... cubic
Energy relative to the elements ... -84 kJ/mol of formula units

abc: 6.5877 6.5877 6.5877
angles: 90.00 90.00 90.00
Space group Fm-3m (No. 225)
One atom of each set of equivalent atoms:
Sc 0.0000 0.0000 0.0000
Nb 0.0000 0.0000 0.5000
Al 0.2500 0.2500 0.2500

---

Record 6
# ScNbAl2

Crystalline ScNbAl2 at its relaxed geometry (PBE-GGA, the Alexandria database).

Values from the calculation:
Crystal system ... tetragonal
Energy relative to the elements ... 43 kJ/mol of formula units

abc: 7.4155 7.4155 5.6338
angles: 90.00 90.00 90.00
Space group I-42d (No. 122)
One atom of each set of equivalent atoms:
Sc 0.0000 0.0000 0.0000
Nb 0.0000 0.0000 0.5000
Al 0.2400 0.7500 0.6250

---

Record 7
# Sc2Nb2Al3

Crystalline Sc2Nb2Al3 at its relaxed geometry (PBE-GGA, the Alexandria database).

Values from the calculation:
Crystal system ... orthorhombic
Energy relative to the elements ... -171 kJ/mol of formula units

abc: 4.4679 20.2623 2.8737
angles: 90.00 90.00 90.00
Space group Cmmm (No. 65)
One atom of each set of equivalent atoms:
Sc 0.0000 0.0731 0.0000
Nb 0.0000 0.2124 0.0000
Al 0.0000 0.3454 0.5000
Al 0.0000 0.5000 0.5000

---

Record 8
# ScNbAlTe2

Crystalline ScNbAlTe2 at its relaxed geometry (PBE-GGA, the Alexandria database).

Values from the calculation:
E_form (uncorrected) ... 822 meV/atom
Crystal system ... tetragonal

abc: 5.3055 5.3055 4.9808
angles: 90.00 90.00 90.00
Space group P4/mmm (No. 123)
One atom of each set of equivalent atoms:
Sc 0.0000 0.0000 0.0000
Nb 0.5000 0.5000 0.0000
Al 0.0000 0.0000 0.5000
Te 0.0000 0.5000 0.5000

---

Record 9
# NbAlSe2

Crystalline NbAlSe2 at its relaxed geometry (PBE-GGA, the Alexandria database).

Values from the calculation:
E_form (uncorrected) ... -453 meV/atom
Crystal system ... trigonal

abc: 3.3681 3.3681 26.5478
angles: 90.00 90.00 120.00
Space group R-3m (No. 166, hexagonal axes)
One atom of each set of equivalent atoms:
Nb 0.0000 0.0000 0.0000
Al 0.0000 0.0000 0.5000
Se 0.0000 0.0000 0.3990

---

Record 10
# NbAlSe3

Crystalline NbAlSe3 at its relaxed geometry (PBE-GGA, the Alexandria database).

Values from the calculation:
E_form (uncorrected) ... -135 meV/atom
Crystal system ... cubic

abc: 5.0802 5.0802 5.0802
angles: 90.00 90.00 90.00
Space group Pm-3m (No. 221)
One atom of each set of equivalent atoms:
Nb 0.0000 0.0000 0.0000
Al 0.5000 0.5000 0.5000
Se 0.0000 0.0000 0.5000

---

Record 11
# Nb2AlSe

Crystalline Nb2AlSe at its relaxed geometry (PBE-GGA, the Alexandria database).

Values from the calculation:
E_form (uncorrected) ... -21 meV/atom
Crystal system ... cubic

abc: 6.5046 6.5046 6.5046
angles: 90.00 90.00 90.00
Space group Fm-3m (No. 225)
One atom of each set of equivalent atoms:
Nb 0.2500 0.2500 0.2500
Al 0.0000 0.0000 0.0000
Se 0.0000 0.0000 0.5000

---

Record 12
# NbAlSe2

Crystalline NbAlSe2 at its relaxed geometry (PBE-GGA, the Alexandria database).

Values from the calculation:
E_form (uncorrected) ... -116 meV/atom
Crystal system ... trigonal

abc: 3.4834 3.4834 24.3380
angles: 90.00 90.00 120.00
Space group R-3m (No. 166, hexagonal axes)
One atom of each set of equivalent atoms:
Nb 0.0000 0.0000 0.0000
Al 0.0000 0.0000 0.5000
Se 0.0000 0.0000 0.1050